Computed, not measured: a relaxed Sm2HoTmTe5 crystal at the PBE level of DFT.

Unit cell a=5.488 b=5.488 c=11.491 alpha=90.00 beta=90.00 gamma=90.00
Sites, in units of the cell vectors:
Sm 0.000 0.000 0.159
Sm 0.000 0.000 0.841
Ho 0.500 0.500 0.500
Tm 0.500 0.500 0.000
Te 0.000 0.000 0.500
Te 0.000 0.500 0.000
Te 0.500 0.000 0.000
Te 0.500 0.500 0.254
Te 0.500 0.500 0.746

* volume: 38.5 Å³ per atom
* size of the total moment: 0.5 μB per cell
* density: 6.106 g/cm3
* ΔE_f (raw): -0.7561 eV per atom

***

Computed, not measured: a relaxed Sm2HoTm3Te6 crystal at the PBE level of DFT.

Unit cell a=9.794 b=9.794 c=8.794 alpha=104.30 beta=104.30 gamma=25.44
Sites, in units of the cell vectors:
Sm 0.170 0.170 0.338
Sm 0.830 0.830 0.662
Ho 0.500 0.500 0.000
Tm 0.171 0.171 0.835
Tm 0.500 0.500 0.500
Tm 0.829 0.829 0.165
Te 0.003 0.003 0.750
Te 0.335 0.335 0.925
Te 0.338 0.338 0.409
Te 0.662 0.662 0.591
Te 0.665 0.665 0.075
Te 0.997 0.997 0.250

* volume: 29.2 Å³ per atom
* size of the total moment: 0.0 μB per cell
* density: 8.233 g/cm3
* ΔE_f (raw): -1.2565 eV per atom

***

Computed, not measured: a relaxed SmHo3Tm2Te6 crystal at the PBE level of DFT.

Unit cell a=9.682 b=9.682 c=8.747 alpha=101.97 beta=101.97 gamma=25.72
Sites, in units of the cell vectors:
Sm 0.000 0.000 0.000
Ho 0.000 0.000 0.500
Ho 0.340 0.340 0.165
Ho 0.660 0.660 0.835
Tm 0.336 0.336 0.669
Tm 0.664 0.664 0.331
Te 0.169 0.169 0.584
Te 0.172 0.172 0.090
Te 0.498 0.498 0.742
Te 0.502 0.502 0.258
Te 0.828 0.828 0.910
Te 0.831 0.831 0.416

* volume: 29.0 Å³ per atom
* size of the total moment: 0.0 μB per cell
* density: 8.353 g/cm3
* ΔE_f (raw): -1.2435 eV per atom